Crystalline Tl2NiRh3F12 at its relaxed geometry. Source: Alexandria, functional PBE+U.

Computed properties:
VASP energy: -81.7 eV/f.u.
Magnetization: 0.17 μB/atom
V: 16.31 A^3/atom

Lattice parameters (Å, degrees): 7.413 7.413 7.413 60.85 60.85 60.85
Fractional positions:
1 Tl 0.145 0.145 0.145
2 Tl 0.855 0.855 0.855
3 Ni 0.500 0.500 0.500
4 Rh 0.000 0.500 0.500
5 Rh 0.500 0.000 0.500
6 Rh 0.500 0.500 0.000
7 F 0.170 0.170 0.571
8 F 0.170 0.571 0.170
9 F 0.177 0.575 0.575
10 F 0.425 0.425 0.823
11 F 0.425 0.823 0.425
12 F 0.429 0.830 0.830
13 F 0.571 0.170 0.170
14 F 0.575 0.177 0.575
15 F 0.575 0.575 0.177
16 F 0.823 0.425 0.425
17 F 0.830 0.429 0.830
18 F 0.830 0.830 0.429